DFT (PBE) results for crystalline Ac3Cr5Te12 at its relaxed geometry.

Lattice parameters (Å, degrees): 15.068 15.068 15.068 109.47 109.47 109.47
Fractional coordinates of all 80 atoms:
Ac: 0.750 0.375 0.125
Ac: 0.875 0.750 0.125
Ac: 0.375 0.750 0.625
Ac: 0.250 0.125 0.375
Ac: 0.875 0.125 0.250
Ac: 0.375 0.625 0.250
Ac: 0.625 0.375 0.750
Ac: 0.125 0.875 0.750
Ac: 0.750 0.875 0.625
Ac: 0.625 0.250 0.375
Ac: 0.125 0.250 0.875
Ac: 0.250 0.625 0.875
Cr: 0.125 0.375 0.250
Cr: 0.000 0.500 0.000
Cr: 0.000 0.000 0.000
Cr: 0.375 0.250 0.125
Cr: 0.500 0.000 0.500
Cr: 0.500 0.500 0.000
Cr: 0.125 0.750 0.375
Cr: 0.750 0.125 0.875
Cr: 0.750 0.625 0.375
Cr: 0.375 0.125 0.750
Cr: 0.625 0.875 0.250
Cr: 0.500 0.500 0.500
Cr: 0.500 0.000 0.000
Cr: 0.000 0.000 0.500
Cr: 0.250 0.375 0.625
Cr: 0.250 0.875 0.125
Cr: 0.000 0.500 0.500
Cr: 0.875 0.250 0.625
Cr: 0.625 0.750 0.875
Cr: 0.875 0.625 0.750
Te: 0.702 0.113 0.023
Te: 0.322 0.523 0.410
Te: 0.977 0.387 0.298
Te: 0.523 0.202 0.113
Te: 0.588 0.702 0.678
Te: 0.977 0.590 0.178
Te: 0.322 0.798 0.412
Te: 0.090 0.912 0.113
Te: 0.590 0.977 0.678
Te: 0.702 0.588 0.178
Te: 0.798 0.477 0.387
Te: 0.822 0.910 0.023
Te: 0.113 0.702 0.523
Te: 0.387 0.410 0.088
Te: 0.088 0.910 0.387
Te: 0.412 0.113 0.590
Te: 0.088 0.178 0.202
Te: 0.477 0.678 0.090
Te: 0.822 0.912 0.298
Te: 0.113 0.412 0.090
Te: 0.387 0.977 0.798
Te: 0.590 0.613 0.412
Te: 0.910 0.822 0.523
Te: 0.798 0.322 0.912
Te: 0.410 0.387 0.588
Te: 0.090 0.178 0.477
Te: 0.202 0.678 0.088
Te: 0.178 0.088 0.702
Te: 0.613 0.023 0.202
Te: 0.887 0.588 0.910
Te: 0.523 0.322 0.910
Te: 0.588 0.887 0.410
Te: 0.912 0.822 0.798
Te: 0.912 0.090 0.613
Te: 0.887 0.298 0.477
Te: 0.178 0.090 0.977
Te: 0.613 0.590 0.912
Te: 0.410 0.023 0.322
Te: 0.298 0.412 0.822
Te: 0.202 0.523 0.613
Te: 0.910 0.088 0.887
Te: 0.678 0.202 0.588
Te: 0.477 0.798 0.887
Te: 0.023 0.410 0.822
Te: 0.412 0.298 0.322
Te: 0.023 0.613 0.702
Te: 0.678 0.477 0.590
Te: 0.298 0.887 0.977

Values from the calculation:
Fermi-level density of states	45.9	states/eV/cell
formation energy from raw total energies	-578	meV/atom